1.
Here is a relaxed structure of Rb2ScGaRu from the Alexandria database. Energies are from PBE.

Cell lengths 6.3890, 5.3512, 6.3890 Å; angles 90.00, 90.00, 90.00 degrees
Each line ends with the local moment (μB).
Positions (direct):
Sc 0.0000 0.5000 0.0000  0.03
Ru 0.5000 0.5000 0.5000  2.43
Ga 0.0000 0.0000 0.0000  0.06
Rb 0.0000 0.0000 0.5000  0.00
Rb 0.5000 0.0000 0.0000  0.00

Output
D(E_F) = 7.47 states/eV per cell
Calculated formation energy = 131.68 kJ per mole of atoms
DFT total energy = -0.101 hartree per atom

=====

2.
Here is a relaxed structure of LaAl4Cu2Pd from the Alexandria database. Energies are from PBE.

Cell lengths 4.2272, 4.2272, 9.5414 Å; angles 77.20, 77.20, 60.00 degrees
Positions (direct):
La 0.0000 0.0000 0.0000
Al 0.4072 0.4072 0.7784
Al 0.8692 0.8692 0.3925
Al 0.1308 0.1308 0.6075
Al 0.5928 0.5928 0.2216
Cu 0.7641 0.7641 0.7076
Cu 0.2359 0.2359 0.2924
Pd 0.5000 0.5000 0.5000

Output
D(E_F) = 3.71 states/eV per cell
Calculated formation energy = -44.08 kJ per mole of atoms
DFT total energy = -0.170 hartree per atom